(1)
Tb7DyTm12 | PBE-GGA | relaxed

Lattice parameters (Å, degrees): 9.6111 9.6111 9.6111 109.47 109.47 109.47
Fractional positions:
Tm: 0.0001 0.2492 0.7508
Tm: 0.7508 0.0001 0.2492
Tb: 0.0000 0.5000 0.5000
Tm: 0.7508 0.2492 0.9999
Tm: 0.7508 0.5016 0.7508
Dy: 0.0000 0.0000 0.0000
Tm: 0.7508 0.7508 0.5016
Tb: 0.5000 0.0000 0.0000
Tm: 0.2492 0.7508 0.0001
Tm: 0.5016 0.7508 0.7508
Tm: 0.2492 0.9999 0.7508
Tm: 0.9999 0.7508 0.2492
Tb: 0.5000 0.5000 0.5000
Tb: 0.5000 0.0000 0.5000
Tb: 0.0000 0.5000 0.0000
Tb: 0.0000 0.0000 0.5000
Tb: 0.5000 0.5000 0.0000
Tm: 0.2492 0.2492 0.4984
Tm: 0.4984 0.2492 0.2492
Tm: 0.2492 0.4984 0.2492

Results
* calculated total energy: -3.804 eV per atom
* DOS(E_F): 1.216 states/eV/atom
* formation enthalpy at 0 K: 0.730 eV per atom
* total moment: 0.00 μB/f.u.
* energy above the most stable polymorph in this dataset: 423 meV per atom

(2)
Tb6Dy8Tm | PBE-GGA | relaxed

Lattice parameters (Å, degrees): 5.7751 9.8103 9.8103 120.00 90.00 90.00
Fractional positions:
Tb: 0.2254 0.7252 0.7765
Tb: 0.2254 0.2235 0.9487
Dy: 0.7718 0.6667 0.3333
Tb: 0.2254 0.0513 0.2748
Dy: 0.7381 0.3776 0.9085
Dy: 0.7381 0.0915 0.4691
Tm: 0.5000 0.0000 0.0000
Dy: 0.2619 0.6224 0.0915
Dy: 0.2282 0.3333 0.6667
Tb: 0.7746 0.9487 0.7252
Tb: 0.7746 0.7765 0.0513
Dy: 0.2619 0.4691 0.3776
Dy: 0.7381 0.5309 0.6224
Dy: 0.2619 0.9085 0.5309
Tb: 0.7746 0.2748 0.2235

Results
* calculated total energy: -4.429 eV per atom
* DOS(E_F): 1.646 states/eV/atom
* formation enthalpy at 0 K: 0.176 eV per atom
* total moment: 0.00 μB/f.u.
* energy above the most stable polymorph in this dataset: 52 meV per atom

(3)
Tb2Dy15Tm2 | PBE-GGA | relaxed

Lattice parameters (Å, degrees): 8.6692 8.6692 8.6692 79.42 79.42 79.42
Fractional positions:
Tm: 0.0956 0.0956 0.0956
Dy: 0.3716 0.3716 0.8508
Dy: 0.2976 0.7024 0.0000
Dy: 0.5000 0.0000 0.0000
Dy: 0.8508 0.3716 0.3716
Dy: 0.3716 0.8508 0.3716
Dy: 0.0000 0.5000 0.0000
Tb: 0.3215 0.3215 0.3215
Dy: 0.7024 0.0000 0.2976
Dy: 0.2976 0.0000 0.7024
Dy: 0.7024 0.2976 0.0000
Dy: 0.1492 0.6284 0.6284
Dy: 0.6284 0.6284 0.1492
Dy: 0.6284 0.1492 0.6284
Dy: 0.0000 0.0000 0.5000
Dy: 0.0000 0.7024 0.2976
Tb: 0.6785 0.6785 0.6785
Tm: 0.9044 0.9044 0.9044
Dy: 0.0000 0.2976 0.7024

Results
* calculated total energy: -4.305 eV per atom
* DOS(E_F): 1.731 states/eV/atom
* formation enthalpy at 0 K: 0.286 eV per atom
* total moment: 0.00 μB/f.u.

(4)
Tb3DyTm5 | PBE-GGA | relaxed

Lattice parameters (Å, degrees): 9.3869 9.3869 11.4265 52.73 52.73 73.20
Fractional positions:
Dy: 0.8519 0.8519 0.3980
Tb: 0.7000 0.7000 0.8095
Tm: 0.8475 0.3465 0.2493
Tm: 0.1525 0.6535 0.7507
Tm: 0.7388 0.2612 0.0000
Tb: 0.0000 0.0000 0.5000
Tb: 0.3000 0.3000 0.1905
Tb: 0.0000 0.0000 0.0000
Tb: 0.3427 0.3427 0.6342
Tm: 0.2612 0.7388 0.0000
Tm: 0.3465 0.8475 0.2493
Tm: 0.1867 0.1867 0.0357
Tm: 0.6535 0.1525 0.7507
Dy: 0.1481 0.1481 0.6020
Tm: 0.4907 0.4907 0.2274
Tm: 0.8133 0.8133 0.9643
Tb: 0.6573 0.6573 0.3658
Tm: 0.5093 0.5093 0.7726

Results
* calculated total energy: -4.001 eV per atom
* DOS(E_F): 1.302 states/eV/atom
* formation enthalpy at 0 K: 0.537 eV per atom
* total moment: 0.00 μB/f.u.
* energy above the most stable polymorph in this dataset: 406 meV per atom